{"formula": "NdScAl4Ni2", "functional": "PBE", "state": "optimized geometry", "m_tot_mub_per_fu": 0.00, "e_tot_ev_per_fu": -41.93, "spacegroup": "Amm2", "lattice": [[6.858, 0.000, 0.000], [0.000, 2.032, 5.023], [0.000, -2.032, 5.023]], "species": ["Nd", "Sc", "Al", "Al", "Al", "Al", "Ni", "Ni"], "fractional_positions": [[0.000, 0.000, 0.000], [0.500, 0.122, 0.122], [0.205, 0.714, 0.714], [0.310, 0.403, 0.403], [0.690, 0.403, 0.403], [0.795, 0.714, 0.714], [0.000, 0.279, 0.279], [0.500, 0.849, 0.849]]}

***

{"formula": "ZnCoMoIr", "functional": "PBE", "state": "optimized geometry", "m_tot_mub_per_fu": 1.99, "e_form_ev_per_atom": -0.04, "e_tot_ev_per_fu": -28.24, "spacegroup": "F-43m", "lattice": [[0.000, 3.030, 3.030], [3.030, 0.000, 3.030], [3.030, 3.030, 0.000]], "species": ["Zn", "Co", "Mo", "Ir"], "fractional_positions": [[0.000, 0.000, 0.000], [0.250, 0.250, 0.250], [0.500, 0.500, 0.500], [0.750, 0.750, 0.750]]}

***

{"formula": "CuNiSbOs", "functional": "PBE", "state": "optimized geometry", "m_tot_mub_per_fu": 0.00, "e_tot_ev_per_fu": -23.40, "spacegroup": "F-43m", "lattice": [[0.000, 3.077, 3.077], [3.077, 0.000, 3.077], [3.077, 3.077, 0.000]], "species": ["Cu", "Ni", "Sb", "Os"], "fractional_positions": [[0.000, 0.000, 0.000], [0.250, 0.250, 0.250], [0.750, 0.750, 0.750], [0.500, 0.500, 0.500]]}

***

{"formula": "Gd2GeAu", "functional": "PBE", "state": "optimized geometry", "m_tot_mub_per_fu": 0.01, "e_tot_ev_per_fu": -20.63, "spacegroup": "Amm2", "lattice": [[4.331, 0.000, 0.000], [0.000, 2.058, 5.513], [0.000, -2.058, 5.513]], "species": ["Gd", "Gd", "Ge", "Au"], "fractional_positions": [[0.000, 0.000, 0.000], [0.500, 0.277, 0.277], [0.500, 0.552, 0.552], [0.000, 0.722, 0.722]]}

***

{"formula": "Hf2InGaAu2", "functional": "PBE", "state": "optimized geometry", "m_tot_mub_per_fu": 0.00, "e_tot_ev_per_fu": -34.77, "spacegroup": "Pm", "lattice": [[11.035, 0.000, 0.000], [0.000, 4.505, 0.000], [-3.684, 0.000, 10.404]], "species": ["Hf", "Hf", "Hf", "Hf", "Hf", "Hf", "Hf", "Hf", "In", "In", "In", "In", "Ga", "Ga", "Ga", "Ga", "Au", "Au", "Au", "Au", "Au", "Au", "Au", "Au"], "fractional_positions": [[0.000, 0.000, 0.000], [0.119, 0.500, 0.374], [0.242, 0.000, 0.745], [0.375, 0.500, 0.131], [0.498, 0.000, 0.500], [0.624, 0.500, 0.870], [0.748, 0.000, 0.254], [0.869, 0.500, 0.622], [0.121, 0.500, 0.875], [0.371, 0.500, 0.623], [0.498, 0.000, 0.001], [0.872, 0.500, 0.125], [0.248, 0.000, 0.250], [0.623, 0.500, 0.376], [0.747, 0.000, 0.748], [0.996, 0.000, 0.499], [0.128, 0.500, 0.130], [0.241, 0.000, 0.493], [0.371, 0.500, 0.874], [0.499, 0.000, 0.256], [0.625, 0.500, 0.623], [0.748, 0.000, 0.994], [0.871, 0.500, 0.379], [0.990, 0.000, 0.744]]}

***

{"formula": "CdIn4I6", "functional": "PBE", "state": "optimized geometry", "e_tot_ev_per_fu": -26.47, "spacegroup": "P4/mnc", "lattice": [[9.151, 0.000, 0.000], [0.000, 9.151, 0.000], [0.000, 0.000, 9.930]], "species": ["Cd", "Cd", "In", "In", "In", "In", "In", "In", "In", "In", "I", "I", "I", "I", "I", "I", "I", "I", "I", "I", "I", "I"], "fractional_positions": [[0.000, 0.000, 0.000], [0.500, 0.500, 0.500], [0.146, 0.354, 0.250], [0.146, 0.354, 0.750], [0.354, 0.854, 0.250], [0.354, 0.854, 0.750], [0.646, 0.146, 0.250], [0.646, 0.146, 0.750], [0.854, 0.646, 0.250], [0.854, 0.646, 0.750], [0.000, 0.000, 0.291], [0.000, 0.000, 0.709], [0.149, 0.693, 0.000], [0.193, 0.649, 0.500], [0.307, 0.149, 0.000], [0.351, 0.193, 0.500], [0.500, 0.500, 0.209], [0.500, 0.500, 0.791], [0.649, 0.807, 0.500], [0.693, 0.851, 0.000], [0.807, 0.351, 0.500], [0.851, 0.307, 0.000]]}

***

{"formula": "CuBiSbF", "functional": "PBE", "state": "optimized geometry", "e_tot_ev_per_fu": -15.55, "spacegroup": "R-3m", "lattice": [[2.017, 1.165, 11.755], [-2.017, 1.165, 11.755], [0.000, -2.329, 11.755]], "species": ["Cu", "Cu", "Bi", "Bi", "Sb", "Sb", "F", "F"], "fractional_positions": [[0.129, 0.129, 0.129], [0.871, 0.871, 0.871], [0.299, 0.299, 0.299], [0.701, 0.701, 0.701], [0.424, 0.424, 0.424], [0.576, 0.576, 0.576], [0.187, 0.187, 0.187], [0.813, 0.813, 0.813]]}

***

{"formula": "InCuTcSe3", "functional": "PBE", "state": "optimized geometry", "m_tot_mub_per_fu": 1.64, "e_tot_ev_per_fu": -28.26, "spacegroup": "Cmcm", "lattice": [[1.832, -6.970, 0.000], [1.832, 6.970, 0.000], [0.000, 0.000, 9.638]], "species": ["In", "In", "Cu", "Cu", "Tc", "Tc", "Se", "Se", "Se", "Se", "Se", "Se"], "fractional_positions": [[0.246, 0.754, 0.750], [0.754, 0.246, 0.250], [0.463, 0.537, 0.250], [0.537, 0.463, 0.750], [0.000, 0.000, 0.000], [0.000, 0.000, 0.500], [0.075, 0.925, 0.250], [0.370, 0.630, 0.042], [0.370, 0.630, 0.458], [0.630, 0.370, 0.542], [0.630, 0.370, 0.958], [0.925, 0.075, 0.750]]}

***

Q: Number 7 is which compound?
A: CuBiSbF

***

Q: Which formula does entry 3 have?
A: CuNiSbOs